Entry 1:
VASP calculation (GGA-PBE) on a relaxed SiOsO2 crystal.

Lattice parameters (Å, degrees): 4.746 4.746 5.261 63.19 63.19 90.00
Sites, in units of the cell vectors:
Os: 0.000 0.000 0.000
Os: 0.750 0.250 0.500
Si: 0.250 0.750 0.500
Si: 0.500 0.500 0.000
O: 0.375 0.507 0.750
O: 0.875 0.743 0.750
O: 0.257 0.625 0.250
O: 0.493 0.125 0.250

Properties
DFT total energy, eV for the cell shown: -55.78
ΔE_f (raw), eV per atom: -0.3297
Crystal system: tetragonal
Theoretical density, g/cm3: 9.11

Entry 2:
VASP calculation (GGA-PBE) on a relaxed Si2OsO crystal.

Lattice parameters (Å, degrees): 5.508 5.508 5.116 57.43 57.43 90.00
Sites, in units of the cell vectors:
Os: 0.000 0.000 0.000
Os: 0.750 0.250 0.500
Si: 0.559 0.125 0.250
Si: 0.191 0.625 0.250
Si: 0.375 0.441 0.750
Si: 0.875 0.809 0.750
O: 0.500 0.500 0.000
O: 0.250 0.750 0.500

Properties
DFT total energy, eV for the cell shown: -57.42
ΔE_f (raw), eV per atom: -0.4195
Crystal system: tetragonal
Theoretical density, g/cm3: 8.66

Entry 3:
VASP calculation (GGA-PBE) on a relaxed SiOs3O crystal.

Lattice parameters (Å, degrees): 4.060 4.060 4.060 90.00 90.00 90.00
Sites, in units of the cell vectors:
Si: 0.500 0.500 0.500
Os: 0.000 0.000 0.500
Os: 0.500 0.000 0.000
Os: 0.000 0.500 0.000
O: 0.000 0.000 0.000

Properties
DFT total energy, eV for the cell shown: -39.18
ΔE_f (raw), eV per atom: 0.9784
Crystal system: cubic
Energy above the lowest structure with this stoichiometry, eV/atom: 0.000
Theoretical density, g/cm3: 15.26

Q: What is the formula in the third record?
A: SiOs3O

Q: Which formula does entry 1 have?
A: SiOsO2

Q: Among the records above, which one has the highest theoretical density?
A: SiOs3O

Q: Which of these has the lowest ΔE_f (raw)?
A: Si2OsO